Cs2UI4Cl2 (GGA-PBE, relaxed); formation energy from raw total energies = -12.973 eV per formula unit; symmetry = C2/m (12); N(E_F) = 3.26 states/eV per cell; VASP energy = -35.86 eV per formula unit
1.0
6.9365 -4.3145 0.0000
6.9365 4.3145 0.0000
-0.9327 0.0000 6.8965
Cs U I Cl
2 1 4 2
Direct
0.1609 0.1609 0.2887 Cs
0.8391 0.8391 0.7113 Cs
0.5000 0.5000 0.0000 U
0.1479 0.6525 0.2088 I
0.3475 0.8521 0.7912 I
0.6525 0.1479 0.2088 I
0.8521 0.3475 0.7912 I
0.3562 0.3562 0.7251 Cl
0.6438 0.6438 0.2749 Cl